Model i:
VASP calculation (PBE-GGA) on a relaxed LaCr3Os crystal.

The structure in POSCAR format:
```
LaCr3Os
1.0
4.387 0.000 0.000
0.000 4.387 0.000
0.000 0.000 4.387
La Cr Os
1 3 1
Cartesian
0.000 0.000 0.000 La
0.000 0.000 2.193 Cr
0.000 2.193 0.000 Cr
2.193 0.000 0.000 Cr
2.193 2.193 2.193 Os
```

space-group type	No. 221
total magnetic moment	0.4	μB per formula unit
DOS at the Fermi energy	5.44	states/eV/cell



Model ii:
VASP calculation (PBE-GGA) on a relaxed LaCr3Os crystal.

The structure in POSCAR format:
```
LaCr3Os
1.0
4.746 0.000 0.000
0.000 4.746 0.000
0.000 0.000 4.746
La Cr Os
1 3 1
Cartesian
0.000 0.000 0.000 La
0.000 2.373 2.373 Cr
2.373 0.000 2.373 Cr
2.373 2.373 0.000 Cr
2.373 2.373 2.373 Os
```

space-group type	No. 221
total magnetic moment	8.1	μB per formula unit
DOS at the Fermi energy	5.38	states/eV/cell



Stability check: which of them is least stable? model i.



Model i:
VASP calculation (PBE-GGA) on a relaxed LaCr2Os crystal.

The structure in POSCAR format:
```
LaCr2Os
1.0
2.883 0.000 0.000
0.000 4.123 0.000
-1.281 0.000 6.024
La Cr Os
1 2 1
Cartesian
0.000 0.000 0.000 La
-0.293 2.061 3.964 Cr
1.894 2.061 2.059 Cr
0.801 0.000 3.012 Os
```

space-group type	No. 10
total magnetic moment	0.0	μB per formula unit
DOS at the Fermi energy	5.22	states/eV/cell



Model ii:
VASP calculation (PBE-GGA) on a relaxed LaCr2Os crystal.

The structure in POSCAR format:
```
LaCr2Os
1.0
1.535 -2.371 0.000
1.535 2.371 0.000
0.000 0.000 8.961
La Cr Os
1 2 1
Cartesian
0.000 0.000 0.000 La
0.000 0.000 4.329 Cr
1.535 0.000 2.679 Cr
1.535 0.000 6.337 Os
```

space-group type	No. 35
total magnetic moment	0.0	μB per formula unit
DOS at the Fermi energy	4.52	states/eV/cell



Stability check: which of them is least stable? model ii.



Model i:
VASP calculation (PBE-GGA) on a relaxed LaCr2Os crystal.

The structure in POSCAR format:
```
LaCr2Os
1.0
2.915 0.000 0.000
0.000 3.827 0.000
-1.228 0.000 6.575
La Cr Os
1 2 1
Cartesian
0.000 0.000 0.000 La
-0.152 1.914 4.344 Cr
0.728 0.000 3.225 Cr
1.775 1.914 2.112 Os
```

space-group type	No. 6
total magnetic moment	1.0	μB per formula unit
DOS at the Fermi energy	5.39	states/eV/cell



Model ii:
VASP calculation (PBE-GGA) on a relaxed LaCr2Os crystal.

The structure in POSCAR format:
```
LaCr2Os
1.0
3.033 0.000 0.000
0.000 3.033 0.000
0.000 0.000 7.646
La Cr Os
1 2 1
Cartesian
0.000 0.000 0.000 La
1.517 1.517 2.369 Cr
1.517 1.517 5.277 Cr
0.000 0.000 3.823 Os
```

space-group type	No. 123
total magnetic moment	4.1	μB per formula unit
DOS at the Fermi energy	3.27	states/eV/cell



Stability check: which of them is least stable? model i.



Model i:
VASP calculation (PBE-GGA) on a relaxed LaCr2Os crystal.

The structure in POSCAR format:
```
LaCr2Os
1.0
-2.286 2.286 8.338
2.286 -2.286 8.338
2.286 2.286 -8.338
La Cr Os
2 4 2
Cartesian
2.286 1.143 2.084 La
0.000 1.143 6.253 La
0.000 0.000 0.000 Cr
1.143 1.143 -4.169 Cr
1.143 -1.143 4.169 Cr
0.000 2.286 0.000 Cr
2.286 -1.143 6.253 Os
0.000 3.430 2.084 Os
```

space-group type	No. 141
total magnetic moment	0.0	μB per formula unit
DOS at the Fermi energy	8.80	states/eV/cell



Model ii:
VASP calculation (PBE-GGA) on a relaxed LaCr2Os crystal.

The structure in POSCAR format:
```
LaCr2Os
1.0
1.484 0.857 9.406
-1.484 0.857 9.406
0.000 -1.714 9.406
La Cr Os
1 2 1
Cartesian
0.000 0.000 0.000 La
0.000 0.000 6.634 Cr
0.000 0.000 21.583 Cr
0.000 0.000 14.108 Os
```

space-group type	No. 166
total magnetic moment	4.2	μB per formula unit
DOS at the Fermi energy	4.79	states/eV/cell



Stability check: which of them is least stable? model ii.



Model i:
VASP calculation (PBE-GGA) on a relaxed LaCr2Os crystal.

The structure in POSCAR format:
```
LaCr2Os
1.0
4.534 -1.522 0.000
4.534 1.522 0.000
-1.592 0.000 5.452
La Cr Os
1 2 1
Cartesian
0.000 0.000 0.000 La
0.850 0.000 3.511 Cr
3.718 0.000 2.676 Cr
6.452 0.000 1.864 Os
```

space-group type	No. 8
total magnetic moment	0.3	μB per formula unit
DOS at the Fermi energy	3.91	states/eV/cell



Model ii:
VASP calculation (PBE-GGA) on a relaxed LaCr2Os crystal.

The structure in POSCAR format:
```
LaCr2Os
1.0
-1.623 2.541 4.825
1.623 -2.541 4.825
1.623 2.541 -4.825
La Cr Os
1 2 1
Cartesian
0.000 0.000 0.000 La
1.623 0.000 2.830 Cr
0.000 2.541 1.995 Cr
0.000 0.000 4.825 Os
```

space-group type	No. 71
total magnetic moment	6.4	μB per formula unit
DOS at the Fermi energy	5.65	states/eV/cell



Model iii:
VASP calculation (PBE-GGA) on a relaxed LaCr2Os crystal.

The structure in POSCAR format:
```
LaCr2Os
1.0
-1.523 2.402 4.876
1.523 -2.402 4.876
1.523 2.402 -4.876
La Cr Os
1 2 1
Cartesian
0.000 0.000 0.000 La
0.000 0.000 4.588 Cr
0.000 2.402 2.133 Cr
1.523 0.000 2.597 Os
```

space-group type	No. 44
total magnetic moment	1.2	μB per formula unit
DOS at the Fermi energy	3.01	states/eV/cell



Model iv:
VASP calculation (PBE-GGA) on a relaxed LaCr2Os crystal.

The structure in POSCAR format:
```
LaCr2Os
1.0
0.000 3.174 3.174
3.174 0.000 3.174
3.174 3.174 0.000
La Cr Os
1 2 1
Cartesian
0.000 0.000 0.000 La
1.587 1.587 1.587 Cr
4.760 4.760 4.760 Cr
3.174 3.174 3.174 Os
```

space-group type	No. 225
total magnetic moment	0.0	μB per formula unit
DOS at the Fermi energy	2.67	states/eV/cell



Stability check: which of them is least stable? model ii.



Model i:
VASP calculation (PBE-GGA) on a relaxed LaCr2Os crystal.

The structure in POSCAR format:
```
LaCr2Os
1.0
3.502 0.000 0.000
0.000 4.509 0.000
0.000 0.000 4.750
La Cr Os
1 2 1
Cartesian
0.000 0.000 0.000 La
0.000 2.255 2.375 Cr
1.751 0.000 2.375 Cr
1.751 2.255 0.000 Os
```

space-group type	No. 47
total magnetic moment	0.3	μB per formula unit
DOS at the Fermi energy	3.24	states/eV/cell



Model ii:
VASP calculation (PBE-GGA) on a relaxed LaCr2Os crystal.

The structure in POSCAR format:
```
LaCr2Os
1.0
1.447 0.835 9.112
-1.447 0.835 9.112
0.000 -1.671 9.112
La Cr Os
1 2 1
Cartesian
0.000 0.000 0.000 La
0.000 0.000 13.461 Cr
0.000 0.000 20.953 Cr
0.000 0.000 6.303 Os
```

space-group type	No. 160
total magnetic moment	0.0	μB per formula unit
DOS at the Fermi energy	4.63	states/eV/cell



Model iii:
VASP calculation (PBE-GGA) on a relaxed LaCr2Os crystal.

The structure in POSCAR format:
```
LaCr2Os
1.0
0.000 3.298 3.298
3.298 0.000 3.298
3.298 3.298 0.000
La Cr Os
1 2 1
Cartesian
0.000 0.000 0.000 La
1.649 1.649 1.649 Cr
3.298 3.298 3.298 Cr
4.947 4.947 4.947 Os
```

space-group type	No. 216
total magnetic moment	0.1	μB per formula unit
DOS at the Fermi energy	4.62	states/eV/cell



Stability check: which of them is least stable? model ii.



Model i:
VASP calculation (PBE-GGA) on a relaxed LaCr2Os crystal.

The structure in POSCAR format:
```
LaCr2Os
1.0
4.673 0.000 0.000
0.000 4.673 0.000
0.000 0.000 3.015
La Cr Os
1 2 1
Cartesian
0.000 0.000 0.000 La
0.000 2.336 1.507 Cr
2.336 0.000 1.507 Cr
2.336 2.336 0.000 Os
```

space-group type	No. 123
total magnetic moment	3.3	μB per formula unit
DOS at the Fermi energy	5.26	states/eV/cell



Model ii:
VASP calculation (PBE-GGA) on a relaxed LaCr2Os crystal.

The structure in POSCAR format:
```
LaCr2Os
1.0
3.018 0.000 0.000
0.000 3.018 0.000
0.000 0.000 7.437
La Cr Os
1 2 1
Cartesian
0.000 0.000 0.000 La
0.000 0.000 3.835 Cr
1.509 1.509 5.029 Cr
1.509 1.509 2.438 Os
```

space-group type	No. 99
total magnetic moment	0.0	μB per formula unit
DOS at the Fermi energy	4.68	states/eV/cell



Model iii:
VASP calculation (PBE-GGA) on a relaxed LaCr2Os crystal.

The structure in POSCAR format:
```
LaCr2Os
1.0
4.664 -1.538 0.000
4.664 1.538 0.000
-1.325 0.000 5.291
La Cr Os
1 2 1
Cartesian
0.000 0.000 0.000 La
1.214 0.000 3.281 Cr
6.788 0.000 2.010 Cr
4.001 0.000 2.646 Os
```

space-group type	No. 12
total magnetic moment	0.0	μB per formula unit
DOS at the Fermi energy	4.08	states/eV/cell



Stability check: which of them is least stable? model i.



Model i:
VASP calculation (PBE-GGA) on a relaxed LaCrOs crystal.

The structure in POSCAR format:
```
LaCrOs
1.0
2.920 0.000 0.000
-1.460 2.529 0.000
0.000 0.000 7.434
La Cr Os
1 1 1
Cartesian
0.000 0.000 0.000 La
0.000 1.686 4.655 Cr
1.460 0.843 2.853 Os
```

space-group type	No. 156
total magnetic moment	0.7	μB per formula unit
DOS at the Fermi energy	4.04	states/eV/cell



Model ii:
VASP calculation (PBE-GGA) on a relaxed LaCrOs crystal.

The structure in POSCAR format:
```
LaCrOs
1.0
-1.668 1.668 5.521
1.668 -1.668 5.521
1.668 1.668 -5.521
La Cr Os
1 1 1
Cartesian
0.000 0.000 0.000 La
0.000 0.000 3.004 Cr
0.000 0.000 7.971 Os
```

space-group type	No. 107
total magnetic moment	0.0	μB per formula unit
DOS at the Fermi energy	3.45	states/eV/cell



Model iii:
VASP calculation (PBE-GGA) on a relaxed LaCrOs crystal.

The structure in POSCAR format:
```
LaCrOs
1.0
0.000 3.255 3.255
3.255 0.000 3.255
3.255 3.255 0.000
La Cr Os
1 1 1
Cartesian
0.000 0.000 0.000 La
3.255 3.255 3.255 Cr
4.883 4.883 4.883 Os
```

space-group type	No. 216
total magnetic moment	3.1	μB per formula unit
DOS at the Fermi energy	3.46	states/eV/cell



Model iv:
VASP calculation (PBE-GGA) on a relaxed LaCrOs crystal.

The structure in POSCAR format:
```
LaCrOs
1.0
4.026 0.000 0.000
-2.013 3.487 0.000
0.000 0.000 4.693
La Cr Os
1 1 1
Cartesian
0.000 0.000 0.000 La
0.000 2.324 2.238 Cr
2.013 1.162 2.503 Os
```

space-group type	No. 156
total magnetic moment	0.0	μB per formula unit
DOS at the Fermi energy	3.21	states/eV/cell



Stability check: which of them is least stable? model i.